Record 1
The following is a PBE-GGA calculation of Mn2ZnCr after structural relaxation, from the Alexandria database.

Cell: 3.8923 3.8951 3.2810 Å, 90.00 90.00 90.00°
Element x y z (fractional)
Cr (0.0000, 0.5000, 0.5000)
Mn (0.5000, 0.5000, 0.0000)
Mn (0.0000, 0.0000, 0.0000)
Zn (0.5000, 0.0000, 0.5000)

Results
As for the energy relative to the elements: 10 kJ/mol of atoms. The total energy is -7.205 eV/atom. Its total magnetic moment is 2.1 μB/cell. The crystal system is tetragonal.


Record 2
The following is a PBE-GGA calculation of MnZnCr after structural relaxation, from the Alexandria database.

Cell: 4.0853 4.0853 4.0853 Å, 60.00 60.00 60.00°
Element x y z (fractional)
Zn (0.0000, 0.0000, 0.0000)
Cr (0.5000, 0.5000, 0.5000)
Mn (0.7500, 0.7500, 0.7500)

Results
As for the energy relative to the elements: 54 kJ/mol of atoms. Its energy above the lowest structure with this stoichiometry is 474.3 meV/atom. The total energy is -6.134 eV/atom. Its total magnetic moment is 0.3 μB/cell. The crystal system is cubic.


Record 3
The following is a PBE-GGA calculation of MnZnCr2 after structural relaxation, from the Alexandria database.

Cell: 4.7994 4.7994 4.0490 Å, 65.05 65.05 34.95°
Element x y z (fractional)
Cr (0.4858, 0.4858, 0.5143)
Cr (0.0142, 0.0142, 0.9857)
Zn (0.2500, 0.2500, 0.2500)
Mn (0.7500, 0.7500, 0.7500)

Results
As for the energy relative to the elements: 16 kJ/mol of atoms. The total energy is -7.260 eV/atom. Its total magnetic moment is 0.9 μB/cell. The crystal system is orthorhombic.


Record 4
The following is a PBE-GGA calculation of Mn2ZnCr after structural relaxation, from the Alexandria database.

Cell: 2.9244 2.9244 5.7713 Å, 90.00 90.00 90.00°
Element x y z (fractional)
Mn (0.0000, 0.0000, 0.9829)
Mn (0.0000, 0.0000, 0.5171)
Zn (0.5000, 0.5000, 0.2500)
Cr (0.5000, 0.5000, 0.7500)

Results
As for the energy relative to the elements: 6 kJ/mol of atoms. The total energy is -7.242 eV/atom. Its total magnetic moment is 2.6 μB/cell. The crystal system is tetragonal.


Record 5
The following is a PBE-GGA calculation of MnZnCr after structural relaxation, from the Alexandria database.

Cell: 4.6918 4.6918 4.6918 Å, 143.34 138.83 56.30°
Element x y z (fractional)
Cr (0.9890, 0.9890, 0.0000)
Zn (0.6673, 0.6673, 0.0000)
Mn (0.3437, 0.3437, 0.0000)

Results
As for the energy relative to the elements: 8 kJ/mol of atoms. Its energy above the lowest structure with this stoichiometry is 0.0 meV/atom. The total energy is -6.608 eV/atom. Its total magnetic moment is 0.2 μB/cell. The crystal system is orthorhombic.


Record 6
The following is a PBE-GGA calculation of ZrMnCr2 after structural relaxation, from the Alexandria database.

Cell: 4.3132 4.3132 4.3132 Å, 120.01 120.01 89.98°
Element x y z (fractional)
Cr (0.0000, 0.0000, 0.0000)
Cr (0.2500, 0.7500, 0.5000)
Mn (0.5000, 0.5000, 0.0000)
Zr (0.7500, 0.2500, 0.5000)

Results
As for the energy relative to the elements: 14 kJ/mol of atoms. The total energy is -9.091 eV/atom. Its total magnetic moment is 0.6 μB/cell. The crystal system is cubic.


Record 7
The following is a PBE-GGA calculation of ZrMnCr2 after structural relaxation, from the Alexandria database.

Cell: 5.0353 5.0353 5.0353 Å, 145.20 129.51 62.79°
Element x y z (fractional)
Zr (0.7500, 0.2500, 0.5000)
Mn (0.2500, 0.7500, 0.5000)
Cr (0.0131, 0.0131, 0.0000)
Cr (0.4869, 0.4869, 0.0000)

Results
As for the energy relative to the elements: 20 kJ/mol of atoms. The total energy is -9.036 eV/atom. Its total magnetic moment is 0.0 μB/cell. The crystal system is orthorhombic.


Record 8
The following is a PBE-GGA calculation of ZrMnCr2 after structural relaxation, from the Alexandria database.

Cell: 4.2600 4.2600 4.2600 Å, 60.00 60.00 60.00°
Element x y z (fractional)
Cr (0.7500, 0.7500, 0.7500)
Cr (0.2500, 0.2500, 0.2500)
Mn (0.0000, 0.0000, 0.0000)
Zr (0.5000, 0.5000, 0.5000)

Results
As for the energy relative to the elements: 23 kJ/mol of atoms. The total energy is -9.003 eV/atom. Its total magnetic moment is 0.0 μB/cell. The crystal system is cubic.


Record 9
The following is a PBE-GGA calculation of Zr3MnCr after structural relaxation, from the Alexandria database.

Cell: 4.7527 4.7527 4.7527 Å, 90.00 90.00 90.00°
Element x y z (fractional)
Mn (0.0000, 0.0000, 0.0000)
Zr (0.5000, 0.0000, 0.0000)
Zr (0.0000, 0.0000, 0.5000)
Zr (0.0000, 0.5000, 0.0000)
Cr (0.5000, 0.5000, 0.5000)

Results
As for the energy relative to the elements: 84 kJ/mol of atoms. Its energy above the lowest structure with this stoichiometry is 0.0 meV/atom. The total energy is -8.020 eV/atom. Its total magnetic moment is 0.2 μB/cell. The crystal system is cubic.


Record 10
The following is a PBE-GGA calculation of ZrMnCr2 after structural relaxation, from the Alexandria database.

Cell: 2.7037 2.7037 8.2404 Å, 90.00 90.00 111.19°
Element x y z (fractional)
Cr (0.5000, 0.5000, 0.2501)
Cr (0.0000, 0.0000, 0.0335)
Mn (0.0000, 0.0000, 0.4675)
Zr (0.5000, 0.5000, 0.7489)

Results
As for the energy relative to the elements: 29 kJ/mol of atoms. The total energy is -8.942 eV/atom. Its total magnetic moment is 1.0 μB/cell. The crystal system is orthorhombic.


Record 11
The following is a PBE-GGA calculation of ZrMnCr2 after structural relaxation, from the Alexandria database.

Cell: 2.8724 3.7413 5.4913 Å, 90.00 90.00 90.00°
Element x y z (fractional)
Cr (0.0000, 0.0000, 0.0890)
Cr (0.5000, 0.5000, 0.2274)
Mn (0.0000, 0.0000, 0.4583)
Zr (0.5000, 0.5000, 0.7253)

Results
As for the energy relative to the elements: 36 kJ/mol of atoms. The total energy is -8.866 eV/atom. Its total magnetic moment is 0.1 μB/cell. The crystal system is orthorhombic.


Record 12
The following is a PBE-GGA calculation of ZrMnCr2 after structural relaxation, from the Alexandria database.

Cell: 4.9720 4.9720 4.3989 Å, 63.81 63.81 35.35°
Element x y z (fractional)
Cr (0.7499, 0.7499, 0.7501)
Cr (0.0156, 0.0156, 0.9844)
Mn (0.4859, 0.4859, 0.5141)
Zr (0.2487, 0.2487, 0.2514)

Results
As for the energy relative to the elements: 23 kJ/mol of atoms. The total energy is -9.001 eV/atom. Its total magnetic moment is 0.0 μB/cell. The crystal system is orthorhombic.


Q: What is the formula in the tenth record?
A: ZrMnCr2